Entry 1:
Material: Rb2ZrHF6
Method: DFT, PBE-GGA
State: optimized geometry

Geometry as POSCAR:
```
Rb2ZrHF6
1.0
-3.254 3.254 4.611
3.254 -3.254 4.611
3.254 3.254 -4.611
Rb Zr H F
2 1 1 6
Direct
0.250 0.750 0.500
0.750 0.250 0.500
0.000 0.000 0.000
0.500 0.500 0.000
0.221 0.221 0.000
0.221 0.221 0.443
0.221 0.779 0.000
0.779 0.221 0.000
0.779 0.779 0.000
0.779 0.779 0.557
```

Calculated values
SG	I4/mmm, No. 139
uncorrected energy	-52.8	eV for the cell shown

---

Entry 2:
Material: Re2HF
Method: DFT, PBE-GGA
State: optimized geometry

Geometry as POSCAR:
```
Re2HF
1.0
-2.343 2.343 4.251
2.343 -2.343 4.251
2.343 2.343 -4.251
Re H F
4 2 2
Direct
0.020 0.625 0.895
0.375 0.270 0.395
0.730 0.125 0.105
0.875 0.980 0.605
0.000 0.000 0.000
0.750 0.250 0.500
0.250 0.750 0.500
0.500 0.500 0.000
```

Calculated values
SG	I-42d, No. 122
uncorrected energy	-56.9	eV for the cell shown
energy above the lowest structure with this stoichiometry	0.000	eV per atom